## NaLiSn4 (PBE)

Data for crystalline NaLiSn4 at its relaxed geometry.

distance to the lowest polymorph of the same formula: 16 meV per atom
crystal system: monoclinic
VASP energy: -3.321 eV/atom
DOS at the Fermi energy: 0.42 states/eV per atom
formation enthalpy at 0 K: -0.113 eV/atom

Cell and atoms, written as POSCAR:
```
NaLiSn4
1.0
5.620 0.000 0.000
0.000 8.156 0.000
-1.691 -4.078 6.792
Na Li Sn
2 2 8
Cartesian
3.885 4.078 3.893 Na
0.044 0.000 2.900 Na
-0.202 0.000 6.101 Li
4.131 4.078 0.692 Li
0.974 4.078 2.245 Sn
1.159 -2.487 5.143 Sn
0.000 1.579 0.000 Sn
2.770 1.591 1.650 Sn
2.955 0.000 4.548 Sn
2.770 6.565 1.650 Sn
0.000 6.578 0.000 Sn
1.159 2.487 5.143 Sn
```

## Na2Li8Sn (PBE)

Data for crystalline Na2Li8Sn at its relaxed geometry.

crystal system: monoclinic
VASP energy: -2.057 eV/atom
DOS at the Fermi energy: 0.33 states/eV per atom
formation enthalpy at 0 K: -0.062 eV/atom

Cell and atoms, written as POSCAR:
```
Na2Li8Sn
1.0
-0.438 -4.745 0.346
2.590 -3.946 -6.156
8.135 -2.375 0.058
Na Li Sn
2 8 1
Cartesian
3.904 -2.126 -1.882 Na
6.821 -4.195 -4.216 Na
1.353 -4.969 -0.326 Li
7.023 -7.199 -1.398 Li
0.862 -2.984 -2.263 Li
4.894 -6.467 -4.826 Li
5.393 -4.599 -0.926 Li
1.290 -5.707 -3.546 Li
3.264 -3.868 -4.353 Li
8.934 -6.098 -5.425 Li
-0.219 -2.373 0.173 Sn
```

## NaLiSn2 (PBE)

Data for crystalline NaLiSn2 at its relaxed geometry.

distance to the lowest polymorph of the same formula: 0 meV per atom
crystal system: orthorhombic
VASP energy: -3.049 eV/atom
DOS at the Fermi energy: 0.39 states/eV per atom
formation enthalpy at 0 K: -0.239 eV/atom

Cell and atoms, written as POSCAR:
```
NaLiSn2
1.0
-4.549 -1.449 0.969
4.222 -2.707 3.524
-0.660 5.354 4.904
Na Li Sn
2 2 4
Cartesian
-0.779 -2.312 5.129 Na
-0.209 3.510 4.268 Na
0.643 -0.086 2.889 Li
-1.631 1.283 6.508 Li
1.064 0.427 5.633 Sn
-2.052 0.771 3.764 Sn
-1.787 -1.376 1.798 Sn
0.799 2.573 7.599 Sn
```

## Na2LiSn (PBE)

Data for crystalline Na2LiSn at its relaxed geometry.

crystal system: tetragonal
VASP energy: -2.197 eV/atom
DOS at the Fermi energy: 0.37 states/eV per atom
formation enthalpy at 0 K: -0.058 eV/atom

Cell and atoms, written as POSCAR:
```
Na2LiSn
1.0
4.032 0.000 0.000
0.000 4.032 0.000
0.000 0.000 6.557
Na Sn Li
2 1 1
Cartesian
0.000 0.000 4.961 Na
0.000 0.000 1.596 Na
2.016 2.016 0.000 Sn
2.016 2.016 3.278 Li
```

## NaLi5Sn4 (PBE)

Data for crystalline NaLi5Sn4 at its relaxed geometry.

distance to the lowest polymorph of the same formula: 14 meV per atom
crystal system: trigonal
VASP energy: -2.941 eV/atom
DOS at the Fermi energy: 0.27 states/eV per atom
formation enthalpy at 0 K: -0.251 eV/atom

Cell and atoms, written as POSCAR:
```
NaLi5Sn4
1.0
10.875 -0.017 -0.010
9.748 4.822 -0.010
9.748 2.271 4.253
Na Sn Li
1 4 5
Cartesian
14.664 3.416 2.044 Na
23.416 5.455 3.264 Sn
20.667 4.815 2.881 Sn
9.673 2.253 1.348 Sn
6.839 1.593 0.953 Sn
26.176 6.098 3.648 Li
28.829 6.717 4.018 Li
17.722 4.129 2.470 Li
4.167 0.971 0.581 Li
1.613 0.376 0.225 Li
```

## Na3Li2Sn3 (PBE)

Data for crystalline Na3Li2Sn3 at its relaxed geometry.

distance to the lowest polymorph of the same formula: 21 meV per atom
crystal system: monoclinic
VASP energy: -2.678 eV/atom
DOS at the Fermi energy: 0.32 states/eV per atom
formation enthalpy at 0 K: -0.204 eV/atom

Cell and atoms, written as POSCAR:
```
Na3Li2Sn3
1.0
-1.183 -2.119 4.268
1.345 -4.141 -1.682
7.572 4.417 1.468
Na Li Sn
3 2 3
Cartesian
4.994 -0.117 4.150 Na
2.740 -1.725 -0.097 Na
0.000 0.000 0.000 Na
3.951 -2.476 2.690 Li
3.783 0.634 1.363 Li
6.150 -1.148 1.135 Sn
0.081 -3.130 1.293 Sn
1.584 -0.695 2.918 Sn
```